Crystalline HfMn2InO6 at its relaxed geometry. Source: Alexandria via LeMat-Bulk, functional PBE with a Hubbard U.

Unit cell a=5.3854 b=5.4844 c=5.6941 alpha=62.99 beta=62.16 gamma=59.06
Fractional coordinates of all 10 atoms:
Hf 0.8084 0.8079 0.5688
Mn 0.5229 0.5238 0.4246
Mn 0.0161 0.0160 0.9517
In 0.3057 0.3111 0.0645
O 0.6377 0.2003 0.2411
O 0.2023 0.9163 0.2377
O 0.9118 0.6107 0.2742
O 0.4065 0.7472 0.7527
O 0.7418 0.0956 0.7546
O 0.1083 0.4327 0.7454

VASP energy	-7.88	eV per atom
calculated density	6.8	Mg/m³